The following is a DFT calculation (PBE-GGA) of a relaxed CrNi2Cl crystal.

Results
E above lowest polymorph: 0.000 eV per atom
uncorrected energy: -22.3 eV per cell
E_form (uncorrected): 4.39 kcal/mol of atoms

Lattice parameters (Å, degrees): 3.100 2.891 6.436 90.00 90.32 90.00
Space group Pm (No. 6)
Inequivalent atoms, fractional coordinates:
Cr: 0.000 0.000 0.000 (multiplicity 1)
Ni: 0.498 0.500 0.816 (multiplicity 1)
Ni: 0.995 0.000 0.619 (multiplicity 1)
Cl: 0.007 0.500 0.293 (multiplicity 1)



The following is a DFT calculation (PBE-GGA) of a relaxed Re4Cl crystal.

Results
E above lowest polymorph: 0.000 eV per atom
uncorrected energy: -94.6 eV per cell
E_form (uncorrected): 19.96 kcal/mol of atoms

Lattice parameters (Å, degrees): 6.301 6.301 3.941 90.00 90.00 90.00
Space group I4/m (No. 87)
Inequivalent atoms, fractional coordinates:
Re: 0.059 0.298 0.000 (multiplicity 8)
Cl: 0.000 0.000 0.500 (multiplicity 2)



The following is a DFT calculation (PBE-GGA) of a relaxed Ce2SnRu crystal.

Results
E above lowest polymorph: 0.013 eV per atom
uncorrected energy: -27.0 eV per cell
energy of formation from the pure elements: -476 meV/atom

Lattice parameters (Å, degrees): 3.293 3.293 8.637 90.00 90.00 90.00
Space group P4/mmm (No. 123)
Inequivalent atoms, fractional coordinates:
Ce: 0.000 0.000 0.212 (multiplicity 2)
Sn: 0.500 0.500 0.500 (multiplicity 1)
Ru: 0.500 0.500 0.000 (multiplicity 1)



The following is a DFT calculation (PBE-GGA) of a relaxed ScPbC3 crystal.

Results
E above lowest polymorph: 0.000 eV per atom
uncorrected energy: -27.4 eV per cell
energy of formation from the pure elements: 2063 meV/atom

Lattice parameters (Å, degrees): 4.333 4.333 4.333 90.00 90.00 90.00
Space group Pm-3m (No. 221)
Inequivalent atoms, fractional coordinates:
Sc: 0.000 0.000 0.000 (multiplicity 1)
Pb: 0.500 0.500 0.500 (multiplicity 1)
C: 0.000 0.000 0.500 (multiplicity 3)



| no. | calculated volume (Å³/f.u.) |
| --- | --- |
| 1 | 57.7 |
| 2 | 78.2 |
| 3 | 93.7 |
| 4 | 81.4 |